1.
# K2LaTl

A relaxed K2LaTl crystal (PBE-GGA, Alexandria via LeMat-Bulk).

Properties
Excess energy over the best structure of this formula in the dataset = 336 meV per atom
SG = I-42d
Magnetization = 0.0 μB per cell
Formation energy from the elements = 0.321 eV per atom

Cell lengths 8.2403, 8.2403, 8.2403 Å; angles 98.99, 98.99, 133.42 degrees
Positions (direct):
K  0.0635  0.6250  0.9385
K  0.3750  0.3135  0.4385
K  0.6865  0.1250  0.0615
K  0.8750  0.9365  0.5615
La  0.2500  0.7500  0.5000
La  0.5000  0.5000  0.0000
Tl  0.0000  0.0000  0.0000
Tl  0.7500  0.2500  0.5000

=====

2.
# CsThReN4

A relaxed CsThReN4 crystal (PBE-GGA, Alexandria via LeMat-Bulk).

Properties
E_form (uncorrected) = -737 meV/atom
SG = P2_1/m
Magnetization = 0.0 μB per cell

Cell lengths 6.2783, 6.1208, 8.4058 Å; angles 90.00, 105.43, 90.00 degrees
Positions (direct):
Cs  0.2150  0.2500  0.4245
Cs  0.7850  0.7500  0.5755
Th  0.2867  0.2500  0.9459
Th  0.7133  0.7500  0.0541
Re  0.2406  0.7500  0.1417
Re  0.7594  0.2500  0.8583
N  0.0429  0.7500  0.9430
N  0.0568  0.7500  0.2770
N  0.4339  0.5172  0.1541
N  0.4339  0.9828  0.1541
N  0.5661  0.0172  0.8459
N  0.5661  0.4828  0.8459
N  0.9432  0.2500  0.7230
N  0.9571  0.2500  0.0570

=====

3.
# LaSmPSe

A relaxed LaSmPSe crystal (PBE-GGA, Alexandria via LeMat-Bulk).

Properties
E_form (uncorrected) = -1824 meV/atom
SG = R3m
Magnetization = 0.0 μB per cell

Cell lengths 7.3965, 7.3965, 7.3965 Å; angles 32.92, 32.92, 32.92 degrees
Positions (direct):
La  0.0000  0.0000  0.0000
Sm  0.5123  0.5123  0.5123
P  0.2533  0.2533  0.2533
Se  0.7589  0.7589  0.7589

=====

4.
# YMn5

A relaxed YMn5 crystal (PBE-GGA, Alexandria via LeMat-Bulk).

Properties
SG = F-43m
Magnetization = 1.0 μB per cell
Formation energy from the elements = 0.223 eV per atom

Cell lengths 4.9301, 4.9301, 4.9301 Å; angles 60.00, 60.00, 60.00 degrees
Positions (direct):
Y  0.0000  0.0000  0.0000
Mn  0.3753  0.3753  0.3753
Mn  0.3753  0.3753  0.8742
Mn  0.3753  0.8742  0.3753
Mn  0.7500  0.7500  0.7500
Mn  0.8742  0.3753  0.3753

=====

5.
# ScTaIr2

A relaxed ScTaIr2 crystal (PBE-GGA, Alexandria via LeMat-Bulk).

Properties
SG = P4/mmm
Magnetization = 0.0 μB per cell
Formation energy from the elements = -0.744 eV per atom

Cell lengths 3.0279, 3.0279, 7.2363 Å; angles 90.00, 90.00, 90.00 degrees
Positions (direct):
Sc  0.0000  0.0000  0.0000
Ta  0.0000  0.0000  0.5000
Ir  0.5000  0.5000  0.2557
Ir  0.5000  0.5000  0.7443

=====

6.
# ErNi4B

A relaxed ErNi4B crystal (PBE-GGA, Alexandria via LeMat-Bulk).

Properties
Excess energy over the best structure of this formula in the dataset = 0 meV per atom
SG = P6/mmm
Magnetization = 0.0 μB per cell
Formation energy from the elements = -0.508 eV per atom

Cell lengths 4.9546, 4.9546, 6.9478 Å; angles 90.00, 90.00, 120.00 degrees
Positions (direct):
Er  0.0000  0.0000  0.0000
Er  0.0000  0.0000  0.5000
Ni  0.0000  0.5000  0.2076
Ni  0.0000  0.5000  0.7924
Ni  0.3333  0.6667  0.5000
Ni  0.5000  0.0000  0.2076
Ni  0.5000  0.0000  0.7924
Ni  0.5000  0.5000  0.2076
Ni  0.5000  0.5000  0.7924
Ni  0.6667  0.3333  0.5000
B  0.3333  0.6667  0.0000
B  0.6667  0.3333  0.0000

=====

7.
# TaTcW2

A relaxed TaTcW2 crystal (PBE-GGA, Alexandria via LeMat-Bulk).

Properties
Excess energy over the best structure of this formula in the dataset = 56 meV per atom
SG = Imm2
Magnetization = 0.0 μB per cell
Formation energy from the elements = -0.101 eV per atom

Cell lengths 5.2857, 5.2857, 5.2857 Å; angles 145.01, 129.26, 63.13 degrees
Positions (direct):
Ta  0.0000  0.0000  0.0000
Tc  0.7493  0.2493  0.5000
W  0.2538  0.7538  0.5000
W  0.5000  0.5000  0.0000

=====

8.
# LiZrCuSe3

A relaxed LiZrCuSe3 crystal (PBE-GGA, Alexandria via LeMat-Bulk).

Properties
E_form (uncorrected) = -1034 meV/atom
SG = P2_1/m
Magnetization = 0.0 μB per cell

Cell lengths 7.5180, 3.7943, 9.1807 Å; angles 90.00, 104.26, 90.00 degrees
Positions (direct):
Li  0.2184  0.2500  0.2856
Li  0.7816  0.7500  0.7144
Zr  0.3164  0.7500  0.8223
Zr  0.6836  0.2500  0.1777
Cu  0.0863  0.2500  0.5910
Cu  0.9137  0.7500  0.4090
Se  0.0735  0.2500  0.8512
Se  0.2644  0.7500  0.5249
Se  0.4145  0.7500  0.1442
Se  0.5855  0.2500  0.8558
Se  0.7356  0.2500  0.4751
Se  0.9265  0.7500  0.1488

=====

9.
# ScAsOF2

A relaxed ScAsOF2 crystal (PBE-GGA, Alexandria via LeMat-Bulk).

Properties
Excess energy over the best structure of this formula in the dataset = 0 meV per atom
E_form (uncorrected) = -2100 meV/atom
SG = P4/mmm
Magnetization = 1.9 μB per cell

Cell lengths 4.1037, 4.1037, 4.2724 Å; angles 90.00, 90.00, 90.00 degrees
Positions (direct):
Sc  0.0000  0.0000  0.0000
As  0.5000  0.5000  0.5000
O  0.0000  0.0000  0.5000
F  0.0000  0.5000  0.0000
F  0.5000  0.0000  0.0000

=====

10.
# Pm4ErTm3

A relaxed Pm4ErTm3 crystal (PBE-GGA, Alexandria via LeMat-Bulk).

Properties
SG = C2/m
Magnetization = 0.0 μB per cell
Formation energy from the elements = 0.196 eV per atom

Cell lengths 13.1961, 13.1961, 3.6269 Å; angles 90.04, 90.04, 24.64 degrees
Positions (direct):
Pm  0.1022  0.1022  0.0002
Pm  0.2228  0.2228  0.9999
Pm  0.7772  0.7772  0.0001
Pm  0.8978  0.8978  0.9998
Er  0.0000  0.0000  0.5000
Tm  0.3492  0.3492  0.5004
Tm  0.5000  0.5000  0.0000
Tm  0.6508  0.6508  0.4996

=====

11.
# ReNi2Br

A relaxed ReNi2Br crystal (PBE-GGA, Alexandria via LeMat-Bulk).

Properties
Excess energy over the best structure of this formula in the dataset = 552 meV per atom
E_form (uncorrected) = 952 meV/atom
SG = P4/mmm
Magnetization = 1.5 μB per cell

Cell lengths 4.6527, 4.6527, 2.6838 Å; angles 90.00, 90.00, 90.00 degrees
Positions (direct):
Re  0.0000  0.0000  0.0000
Ni  0.0000  0.5000  0.5000
Ni  0.5000  0.0000  0.5000
Br  0.5000  0.5000  0.0000

=====

12.
# BaCrIn4

A relaxed BaCrIn4 crystal (PBE-GGA, Alexandria via LeMat-Bulk).

Properties
SG = F-43m
Magnetization = 4.2 μB per cell
Formation energy from the elements = 0.136 eV per atom

Cell lengths 6.2363, 6.2363, 6.2363 Å; angles 60.00, 60.00, 60.00 degrees
Positions (direct):
Ba  0.0000  0.0000  0.0000
Cr  0.7500  0.7500  0.7500
In  0.3756  0.3756  0.3756
In  0.3756  0.3756  0.8733
In  0.3756  0.8733  0.3756
In  0.8733  0.3756  0.3756

=====

| no. | raw total energy (eV/atom) |
| --- | --- |
| 1 | -2.051 |
| 2 | -8.454 |
| 3 | -6.460 |
| 4 | -8.495 |
| 5 | -9.721 |
| 6 | -6.236 |
| 7 | -12.132 |
| 8 | -5.203 |
| 9 | -6.036 |
| 10 | -4.426 |
| 11 | -5.469 |
| 12 | -3.614 |